Density functional theory data (GGA-PBE) for crystalline AcCeHg4 at its relaxed geometry.

It has space group Pmmm (No. 47), with a = 3.6083 Å, b = 5.1510 Å, c = 8.8751 Å, α = 90.00°, β = 90.00° and γ = 90.00°. The asymmetric unit holds Ac at (0.0000, 0.0000, 0.0000), Ce at (0.0000, 0.5000, 0.5000), Hg at (0.5000, 0.0000, 0.3377) and Hg at (0.5000, 0.5000, 0.1722).

The relative energy among the computed polymorphs comes out at 0.000 eV/atom. The formation energy comes out at -394 meV per atom.

Density functional theory data (GGA-PBE) for crystalline Ac3CeHg6 at its relaxed geometry.

It has space group Fm-3m (No. 225), with a = 11.6457 Å, b = 11.6457 Å, c = 11.6457 Å, α = 90.00°, β = 90.00° and γ = 90.00°. The asymmetric unit holds Ac at (0.0000, 0.0000, 0.0000), Ac at (0.2500, 0.2500, 0.2500), Ce at (0.0000, 0.0000, 0.5000) and Hg at (0.0000, 0.0000, 0.2555).

The relative energy among the computed polymorphs comes out at 0.602 eV/atom. The formation energy comes out at 210 meV per atom.

Density functional theory data (GGA-PBE) for crystalline Ac2CeHg8 at its relaxed geometry.

It has space group Immm (No. 71), with a = 5.4513 Å, b = 7.8010 Å, c = 14.9349 Å, α = 90.00°, β = 90.00° and γ = 90.00°. The asymmetric unit holds Ac at (0.0000, 0.0000, 0.2014), Ce at (0.0000, 0.0000, 0.5000), Hg at (0.0000, 0.2181, 0.0000), Hg at (0.0000, 0.3003, 0.3649) and Hg at (0.0000, 0.5000, 0.1517).

The formation energy comes out at -328 meV per atom.

Density functional theory data (GGA-PBE) for crystalline AcCe2Hg6 at its relaxed geometry.

It has space group P6/mmm (No. 191), with a = 8.8729 Å, b = 8.8729 Å, c = 3.5340 Å, α = 90.00°, β = 90.00° and γ = 120.00°. The asymmetric unit holds Ac at (0.0000, 0.0000, 0.0000), Ce at (0.3333, 0.6667, 0.0000) and Hg at (0.0000, 0.3367, 0.5000).

The relative energy among the computed polymorphs comes out at 0.000 eV/atom. The formation energy comes out at -377 meV per atom.

Density functional theory data (GGA-PBE) for crystalline AcCe2In2Hg2 at its relaxed geometry.

It has space group R-3m (No. 166, hexagonal axes), with a = 4.8849 Å, b = 4.8849 Å, c = 29.1587 Å, α = 90.00°, β = 90.00° and γ = 120.00°. The asymmetric unit holds Ac at (0.0000, 0.0000, 0.0000), Ce at (0.0000, 0.0000, 0.1449), In at (0.0000, 0.0000, 0.2633) and Hg at (0.0000, 0.0000, 0.4293).

The formation energy comes out at -288 meV per atom.

Density functional theory data (GGA-PBE) for crystalline AcCeInHg at its relaxed geometry.

It has space group F-43m (No. 216), with a = 7.9633 Å, b = 7.9633 Å, c = 7.9633 Å, α = 90.00°, β = 90.00° and γ = 90.00°. The asymmetric unit holds Ac at (0.0000, 0.0000, 0.0000), Ce at (0.0000, 0.0000, 0.5000), In at (0.2500, 0.2500, 0.2500) and Hg at (0.2500, 0.2500, 0.7500).

The relative energy among the computed polymorphs comes out at 0.021 eV/atom. The formation energy comes out at -337 meV per atom.

Density functional theory data (GGA-PBE) for crystalline AcCeInHg at its relaxed geometry.

It has space group P4mm (No. 99), with a = 3.9330 Å, b = 3.9330 Å, c = 8.0626 Å, α = 90.00°, β = 90.00° and γ = 90.00°. The asymmetric unit holds Ac at (0.0000, 0.0000, 0.0000), Ce at (0.0000, 0.0000, 0.5055), In at (0.5000, 0.5000, 0.2701) and Hg at (0.5000, 0.5000, 0.7295).

The relative energy among the computed polymorphs comes out at 0.000 eV/atom. The formation energy comes out at -358 meV per atom.

Density functional theory data (GGA-PBE) for crystalline AcCeHgIr at its relaxed geometry.

It has space group R3m (No. 160, hexagonal axes), with a = 4.2268 Å, b = 4.2268 Å, c = 23.7471 Å, α = 90.00°, β = 90.00° and γ = 120.00°. The asymmetric unit holds Ac at (0.0000, 0.0000, 0.0000), Ce at (0.0000, 0.0000, 0.2002), Hg at (0.0000, 0.0000, 0.7735) and Ir at (0.0000, 0.0000, 0.5923).

The relative energy among the computed polymorphs comes out at 0.000 eV/atom. The formation energy comes out at -564 meV per atom.

Density functional theory data (GGA-PBE) for crystalline AcCeHgIr at its relaxed geometry.

It has space group F-43m (No. 216), with a = 7.5262 Å, b = 7.5262 Å, c = 7.5262 Å, α = 90.00°, β = 90.00° and γ = 90.00°. The asymmetric unit holds Ac at (0.0000, 0.0000, 0.0000), Ce at (0.0000, 0.0000, 0.5000), Hg at (0.2500, 0.2500, 0.7500) and Ir at (0.2500, 0.2500, 0.2500).

The relative energy among the computed polymorphs comes out at 0.186 eV/atom. The formation energy comes out at -377 meV per atom.

Density functional theory data (GGA-PBE) for crystalline Li2AcCeHg4 at its relaxed geometry.

It has space group R-3m (No. 166, hexagonal axes), with a = 5.1067 Å, b = 5.1067 Å, c = 27.5375 Å, α = 90.00°, β = 90.00° and γ = 120.00°. The asymmetric unit holds Li at (0.0000, 0.0000, 0.2423), Ac at (0.0000, 0.0000, 0.0000), Ce at (0.0000, 0.0000, 0.5000), Hg at (0.0000, 0.0000, 0.1231) and Hg at (0.0000, 0.0000, 0.3874).

The formation energy comes out at -383 meV per atom.

Density functional theory data (GGA-PBE) for crystalline LiAcCeHg at its relaxed geometry.

It has space group F-43m (No. 216), with a = 7.6008 Å, b = 7.6008 Å, c = 7.6008 Å, α = 90.00°, β = 90.00° and γ = 90.00°. The asymmetric unit holds Li at (0.0000, 0.0000, 0.0000), Ac at (0.2500, 0.2500, 0.2500), Ce at (0.0000, 0.0000, 0.5000) and Hg at (0.2500, 0.2500, 0.7500).

The formation energy comes out at 26 meV per atom.

Density functional theory data (GGA-PBE) for crystalline AcCeLuHg at its relaxed geometry.

It has space group F-43m (No. 216), with a = 7.8561 Å, b = 7.8561 Å, c = 7.8561 Å, α = 90.00°, β = 90.00° and γ = 90.00°. The asymmetric unit holds Ac at (0.0000, 0.0000, 0.0000), Ce at (0.2500, 0.2500, 0.2500), Lu at (0.2500, 0.2500, 0.7500) and Hg at (0.0000, 0.0000, 0.5000).

The formation energy comes out at 97 meV per atom.

Density functional theory data (GGA-PBE) for crystalline AcCeNdHg at its relaxed geometry.

It has space group F-43m (No. 216), with a = 7.9822 Å, b = 7.9822 Å, c = 7.9822 Å, α = 90.00°, β = 90.00° and γ = 90.00°. The asymmetric unit holds Ac at (0.0000, 0.0000, 0.0000), Ce at (0.2500, 0.2500, 0.7500), Nd at (0.2500, 0.2500, 0.2500) and Hg at (0.0000, 0.0000, 0.5000).

The formation energy comes out at 50 meV per atom.

Density functional theory data (GGA-PBE) for crystalline AcCeHgPb at its relaxed geometry.

It has space group F-43m (No. 216), with a = 8.0215 Å, b = 8.0215 Å, c = 8.0215 Å, α = 90.00°, β = 90.00° and γ = 90.00°. The asymmetric unit holds Ac at (0.0000, 0.0000, 0.0000), Ce at (0.0000, 0.0000, 0.5000), Hg at (0.2500, 0.2500, 0.2500) and Pb at (0.2500, 0.2500, 0.7500).

The relative energy among the computed polymorphs comes out at 0.005 eV/atom. The formation energy comes out at -379 meV per atom.

Density functional theory data (GGA-PBE) for crystalline AcCeHgPb at its relaxed geometry.

It has space group P4mm (No. 99), with a = 4.1137 Å, b = 4.1137 Å, c = 7.5495 Å, α = 90.00°, β = 90.00° and γ = 90.00°. The asymmetric unit holds Ac at (0.0000, 0.0000, 0.0000), Ce at (0.0000, 0.0000, 0.5010), Hg at (0.5000, 0.5000, 0.7334) and Pb at (0.5000, 0.5000, 0.2726).

The relative energy among the computed polymorphs comes out at 0.000 eV/atom. The formation energy comes out at -384 meV per atom.

Density functional theory data (GGA-PBE) for crystalline AcCe2Hg2Pb2 at its relaxed geometry.

It has space group R-3m (No. 166, hexagonal axes), with a = 5.0980 Å, b = 5.0980 Å, c = 28.7741 Å, α = 90.00°, β = 90.00° and γ = 120.00°. The asymmetric unit holds Ac at (0.0000, 0.0000, 0.0000), Ce at (0.0000, 0.0000, 0.1414), Hg at (0.0000, 0.0000, 0.4366) and Pb at (0.0000, 0.0000, 0.2670).

The formation energy comes out at -246 meV per atom.

Density functional theory data (GGA-PBE) for crystalline AcCePmHg at its relaxed geometry.

It has space group F-43m (No. 216), with a = 7.9611 Å, b = 7.9611 Å, c = 7.9611 Å, α = 90.00°, β = 90.00° and γ = 90.00°. The asymmetric unit holds Ac at (0.0000, 0.0000, 0.0000), Ce at (0.2500, 0.2500, 0.2500), Pm at (0.2500, 0.2500, 0.7500) and Hg at (0.0000, 0.0000, 0.5000).

The formation energy comes out at 53 meV per atom.

Density functional theory data (GGA-PBE) for crystalline AcCePrHg at its relaxed geometry.

It has space group F-43m (No. 216), with a = 8.0055 Å, b = 8.0055 Å, c = 8.0055 Å, α = 90.00°, β = 90.00° and γ = 90.00°. The asymmetric unit holds Ac at (0.0000, 0.0000, 0.0000), Ce at (0.2500, 0.2500, 0.2500), Pr at (0.2500, 0.2500, 0.7500) and Hg at (0.0000, 0.0000, 0.5000).

The formation energy comes out at 48 meV per atom.

Density functional theory data (GGA-PBE) for crystalline AcCeHgPt at its relaxed geometry.

It has space group F-43m (No. 216), with a = 7.6117 Å, b = 7.6117 Å, c = 7.6117 Å, α = 90.00°, β = 90.00° and γ = 90.00°. The asymmetric unit holds Ac at (0.0000, 0.0000, 0.0000), Ce at (0.0000, 0.0000, 0.5000), Hg at (0.2500, 0.2500, 0.7500) and Pt at (0.2500, 0.2500, 0.2500).

The formation energy comes out at -605 meV per atom.

Density functional theory data (GGA-PBE) for crystalline AcCeHgRh at its relaxed geometry.

It has space group R3m (No. 160, hexagonal axes), with a = 4.1698 Å, b = 4.1698 Å, c = 24.0542 Å, α = 90.00°, β = 90.00° and γ = 120.00°. The asymmetric unit holds Ac at (0.0000, 0.0000, 0.0000), Ce at (0.0000, 0.0000, 0.8020), Hg at (0.0000, 0.0000, 0.2278) and Rh at (0.0000, 0.0000, 0.4092).

The relative energy among the computed polymorphs comes out at 0.000 eV/atom. The formation energy comes out at -523 meV per atom.

Density functional theory data (GGA-PBE) for crystalline AcCeHgRh at its relaxed geometry.

It has space group F-43m (No. 216), with a = 7.5497 Å, b = 7.5497 Å, c = 7.5497 Å, α = 90.00°, β = 90.00° and γ = 90.00°. The asymmetric unit holds Ac at (0.0000, 0.0000, 0.0000), Ce at (0.0000, 0.0000, 0.5000), Hg at (0.2500, 0.2500, 0.7500) and Rh at (0.2500, 0.2500, 0.2500).

The relative energy among the computed polymorphs comes out at 0.142 eV/atom. The formation energy comes out at -382 meV per atom.

Density functional theory data (GGA-PBE) for crystalline AcCeHgRu at its relaxed geometry.

It has space group F-43m (No. 216), with a = 7.5000 Å, b = 7.5000 Å, c = 7.5000 Å, α = 90.00°, β = 90.00° and γ = 90.00°. The asymmetric unit holds Ac at (0.0000, 0.0000, 0.0000), Ce at (0.0000, 0.0000, 0.5000), Hg at (0.2500, 0.2500, 0.2500) and Ru at (0.2500, 0.2500, 0.7500).

The relative energy among the computed polymorphs comes out at 0.177 eV/atom. The formation energy comes out at -129 meV per atom.

Density functional theory data (GGA-PBE) for crystalline AcCeHgRu at its relaxed geometry.

It has space group Cm (No. 8), with a = 7.1170 Å, b = 4.1044 Å, c = 8.4327 Å, α = 90.00°, β = 106.28° and γ = 90.00°. The asymmetric unit holds Ac at (0.0000, 0.0000, 0.0000), Ce at (0.2987, 0.5000, 0.3958), Hg at (0.2264, 0.0000, 0.6798) and Ru at (0.4129, 0.0000, 0.2406).

The relative energy among the computed polymorphs comes out at 0.000 eV/atom. The formation energy comes out at -306 meV per atom.

Density functional theory data (GGA-PBE) for crystalline AcCeScHg at its relaxed geometry.

It has space group F-43m (No. 216), with a = 7.7128 Å, b = 7.7128 Å, c = 7.7128 Å, α = 90.00°, β = 90.00° and γ = 90.00°. The asymmetric unit holds Ac at (0.0000, 0.0000, 0.0000), Ce at (0.2500, 0.2500, 0.2500), Sc at (0.2500, 0.2500, 0.7500) and Hg at (0.0000, 0.0000, 0.5000).

The formation energy comes out at 77 meV per atom.

Density functional theory data (GGA-PBE) for crystalline AcTb2CeHg4 at its relaxed geometry.

It has space group R-3m (No. 166, hexagonal axes), with a = 5.3967 Å, b = 5.3967 Å, c = 27.2338 Å, α = 90.00°, β = 90.00° and γ = 120.00°. The asymmetric unit holds Ac at (0.0000, 0.0000, 0.0000), Tb at (0.0000, 0.0000, 0.2454), Ce at (0.0000, 0.0000, 0.5000), Hg at (0.0000, 0.0000, 0.1264) and Hg at (0.0000, 0.0000, 0.3814).

The formation energy comes out at -402 meV per atom.

Density functional theory data (GGA-PBE) for crystalline AcTbCeHg at its relaxed geometry.

It has space group F-43m (No. 216), with a = 7.9085 Å, b = 7.9085 Å, c = 7.9085 Å, α = 90.00°, β = 90.00° and γ = 90.00°. The asymmetric unit holds Ac at (0.0000, 0.0000, 0.0000), Tb at (0.2500, 0.2500, 0.2500), Ce at (0.2500, 0.2500, 0.7500) and Hg at (0.0000, 0.0000, 0.5000).

The formation energy comes out at 69 meV per atom.

Density functional theory data (GGA-PBE) for crystalline AcCeHgTe at its relaxed geometry.

It has space group F-43m (No. 216), with a = 7.9268 Å, b = 7.9268 Å, c = 7.9268 Å, α = 90.00°, β = 90.00° and γ = 90.00°. The asymmetric unit holds Ac at (0.0000, 0.0000, 0.0000), Ce at (0.0000, 0.0000, 0.5000), Hg at (0.2500, 0.2500, 0.7500) and Te at (0.2500, 0.2500, 0.2500).

As for the formation energy (no corrections): -0.67 eV/atom.

Density functional theory data (GGA-PBE) for crystalline AcCeTmHg at its relaxed geometry.

It has space group F-43m (No. 216), with a = 7.8683 Å, b = 7.8683 Å, c = 7.8683 Å, α = 90.00°, β = 90.00° and γ = 90.00°. The asymmetric unit holds Ac at (0.0000, 0.0000, 0.0000), Ce at (0.2500, 0.2500, 0.2500), Tm at (0.2500, 0.2500, 0.7500) and Hg at (0.0000, 0.0000, 0.5000).

The formation energy comes out at 88 meV per atom.

Computed total energy, in the same sequence as the records: -2.27, -1.80, -1.83, -2.35, -3.44, -3.61, -3.63, -5.37, -5.18, -2.27, -3.04, -3.62, -3.73, -3.89, -3.90, -3.67, -3.72, -3.73, -4.70, -4.95, -4.81, -5.03, -5.21, -4.09, -2.97, -3.67, -4.04, -3.62 eV/atom.